# ScBe2Au GGA-PBEsol relaxed
# - DFT formation energy (eV/atom) = -0.248
data_ScBe2Au
_chemical_formula_sum 'Sc2 Be4 Au2'
_space_group_name_H-M_alt 'A m m 2'
_space_group_IT_number 38
_space_group_name_Hall 'A 2 -2'
_cell_length_a 3.6837
_cell_length_b 3.1931
_cell_length_c 9.2253
_cell_angle_alpha 90.00
_cell_angle_beta 90.00
_cell_angle_gamma 90.00
loop_
_atom_site_label
_atom_site_type_symbol
_atom_site_fract_x
_atom_site_fract_y
_atom_site_fract_z
Sc1 Sc 0.0000 0.0000 0.0000
Be1 Be 0.0000 0.0000 0.7224
Be2 Be 0.5000 0.0000 0.6065
Au1 Au 0.5000 0.0000 0.3042

# PbW3 GGA-PBEsol relaxed
# - DFT formation energy (eV/atom) = 0.816
data_PbW3
_chemical_formula_sum 'Pb1 W3'
_space_group_name_H-M_alt 'P -6 m 2'
_space_group_IT_number 187
_space_group_name_Hall 'P -6 2'
_cell_length_a 3.0405
_cell_length_b 3.0405
_cell_length_c 8.8680
_cell_angle_alpha 90.00
_cell_angle_beta 90.00
_cell_angle_gamma 120.00
loop_
_atom_site_label
_atom_site_type_symbol
_atom_site_fract_x
_atom_site_fract_y
_atom_site_fract_z
Pb1 Pb 0.0000 0.0000 0.0000
W1 W 0.0000 0.0000 0.5000
W2 W 0.3333 0.6667 0.2687

no.,energy above the most stable polymorph in this dataset (kJ/mol of atoms),DOS at the Fermi energy (states/eV per cell)
1,6.1,4.2
2,7.4,3.8